Computed, not measured: a geometry-optimized Ni2HgIO6 structure at the GGA+U level of DFT.

a b c (Å): 5.4225 5.4229 5.7339
angles (deg): 118.10 90.11 119.97
Positions (direct):
Ni 0.0000 0.0000 0.0000
Ni 0.4836 0.9669 0.4506
Hg 0.2662 0.5314 0.7976
I 0.7955 0.5907 0.3864
O 0.0789 0.4750 0.2019
O 0.1878 0.0258 0.6642
O 0.3962 0.1231 0.2022
O 0.6382 0.8253 0.6644
O 0.7260 0.8054 0.2013
O 0.8390 0.4763 0.6646

Values from the calculation:
* spin magnetization: 3.3 μB/f.u.
* energy: -42.1 eV/cell
* SG: P1, No. 1